## PrDy4Ho2 (PBE-GGA)

Data for a relaxed structure of PrDy4Ho2.

Computed properties:
Total moment, μB per cell: 0.0
SG: P2_1/m
Distance to the lowest polymorph of the same formula, eV per atom: 0.092
Energy of formation, meV/atom: 125.6

Unit cell a=6.1283 b=6.5563 c=11.5101 alpha=90.00 beta=104.11 gamma=90.00
Fractional coordinates of all 14 atoms:
1 Pr 0.0422 0.2500 0.3621
2 Pr 0.9578 0.7500 0.6379
3 Dy 0.1491 0.2500 0.6640
4 Dy 0.2875 0.7500 0.9252
5 Dy 0.3502 0.5084 0.2114
6 Dy 0.3502 0.9916 0.2114
7 Dy 0.6498 0.0084 0.7886
8 Dy 0.6498 0.4916 0.7886
9 Dy 0.7125 0.2500 0.0748
10 Dy 0.8509 0.7500 0.3360
11 Ho 0.1510 0.2500 0.9497
12 Ho 0.3950 0.7500 0.5064
13 Ho 0.6050 0.2500 0.4936
14 Ho 0.8490 0.7500 0.0503